Density functional theory data (GGA-PBE) for an optimized crystal structure of CaZrPd.

a = 6.5391 Å, b = 6.5391 Å, c = 6.4173 Å
α = 90.00°, β = 90.00°, γ = 146.93°
Sites, in units of the cell vectors:
Ca  0.2060  0.7940  0.5000
Ca  0.7940  0.2060  0.0000
Zr  0.4994  0.5006  0.7484
Zr  0.5006  0.4994  0.2484
Pd  0.0982  0.9018  0.9978
Pd  0.9018  0.0982  0.4978

Properties
- E: -33.71 eV/cell
- Theoretical density: 5.3 g/cm³
- Spin magnetization: 0.0 μB/f.u.
- Energy relative to the lowest polymorph listed for this composition: 45.4 meV per atom
- E_form: -0.371 eV per atom
- SG: Cmc2_1 (36)